! PBE MgGaH, relaxed; values from VASP
&SYSTEM
  ibrav = 0, nat = 6, ntyp = 3
/
ATOMIC_SPECIES
Mg 24.30 Mg.upf
Ga 69.72 Ga.upf
H 1.01 H.upf
ATOMIC_POSITIONS crystal
Mg 0.000 0.355 0.500
Mg 0.500 0.645 0.000
Ga 0.000 0.891 0.500
Ga 0.500 0.109 0.000
H 0.000 0.500 0.000
H 0.500 0.500 0.500
CELL_PARAMETERS angstrom
3.206 0.000 0.000
0.000 8.041 0.000
0.000 0.000 3.205
! **E_tot**: -8.29 eV per formula unit

! PBE MgGa2H6, relaxed; values from VASP
&SYSTEM
  ibrav = 0, nat = 9, ntyp = 3
/
ATOMIC_SPECIES
Mg 24.30 Mg.upf
Ga 69.72 Ga.upf
H 1.01 H.upf
ATOMIC_POSITIONS crystal
Mg 0.000 0.000 0.000
Ga 0.750 0.750 0.750
Ga 0.250 0.250 0.250
H 0.275 0.725 0.725
H 0.725 0.725 0.275
H 0.725 0.275 0.725
H 0.725 0.275 0.275
H 0.275 0.275 0.725
H 0.275 0.725 0.275
CELL_PARAMETERS angstrom
-2.638 -3.910 -1.044
1.948 -4.404 0.392
-1.426 -2.966 3.537
! **E_tot**: -22.93 eV per formula unit

! PBE MgGaH, relaxed; values from VASP
&SYSTEM
  ibrav = 0, nat = 3, ntyp = 3
/
ATOMIC_SPECIES
H 1.01 H.upf
Mg 24.30 Mg.upf
Ga 69.72 Ga.upf
ATOMIC_POSITIONS crystal
H 0.275 0.275 0.551
Mg 0.480 0.480 0.960
Ga 0.095 0.095 0.189
CELL_PARAMETERS angstrom
-0.666 -3.546 -0.301
2.735 -0.705 2.265
-3.902 2.364 2.554
! **E_tot**: -7.68 eV per formula unit

! PBE MgGaH, relaxed; values from VASP
&SYSTEM
  ibrav = 0, nat = 6, ntyp = 3
/
ATOMIC_SPECIES
Mg 24.30 Mg.upf
Ga 69.72 Ga.upf
H 1.01 H.upf
ATOMIC_POSITIONS crystal
Mg 0.385 0.384 0.845
Mg 0.615 0.616 0.155
Ga 0.868 0.869 0.395
Ga 0.132 0.131 0.605
H 0.695 0.691 0.920
H 0.305 0.309 0.080
CELL_PARAMETERS angstrom
3.238 0.000 0.000
1.619 2.802 -0.030
1.619 1.082 9.318
! **E_tot**: -8.23 eV per formula unit

! PBE Mg12Ga3H5, relaxed; values from VASP
&SYSTEM
  ibrav = 0, nat = 80, ntyp = 3
/
ATOMIC_SPECIES
Ga 69.72 Ga.upf
H 1.01 H.upf
Mg 24.30 Mg.upf
ATOMIC_POSITIONS crystal
Ga 0.750 0.375 0.125
Ga 0.875 0.750 0.125
Ga 0.375 0.750 0.625
Ga 0.250 0.125 0.375
Ga 0.875 0.125 0.250
Ga 0.375 0.625 0.250
Ga 0.625 0.375 0.750
Ga 0.125 0.875 0.750
Ga 0.750 0.875 0.625
Ga 0.625 0.250 0.375
Ga 0.125 0.250 0.875
Ga 0.250 0.625 0.875
H 0.125 0.375 0.250
H 0.000 0.500 0.000
H 0.000 0.000 0.000
H 0.375 0.250 0.125
H 0.500 0.000 0.500
H 0.500 0.500 0.000
H 0.125 0.750 0.375
H 0.750 0.125 0.875
H 0.750 0.625 0.375
H 0.375 0.125 0.750
H 0.625 0.875 0.250
H 0.500 0.500 0.500
H 0.500 0.000 0.000
H 0.000 0.000 0.500
H 0.250 0.375 0.625
H 0.250 0.875 0.125
H 0.000 0.500 0.500
H 0.875 0.250 0.625
H 0.625 0.750 0.875
H 0.875 0.625 0.750
Mg 0.705 0.112 0.016
Mg 0.311 0.516 0.404
Mg 0.984 0.388 0.295
Mg 0.516 0.205 0.112
Mg 0.593 0.705 0.689
Mg 0.984 0.596 0.189
Mg 0.311 0.795 0.407
Mg 0.096 0.907 0.112
Mg 0.596 0.984 0.689
Mg 0.705 0.593 0.189
Mg 0.795 0.484 0.388
Mg 0.811 0.904 0.016
Mg 0.112 0.705 0.516
Mg 0.388 0.404 0.093
Mg 0.093 0.904 0.388
Mg 0.407 0.112 0.596
Mg 0.093 0.189 0.205
Mg 0.484 0.689 0.096
Mg 0.811 0.907 0.295
Mg 0.112 0.407 0.096
Mg 0.388 0.984 0.795
Mg 0.596 0.612 0.407
Mg 0.904 0.811 0.516
Mg 0.795 0.311 0.907
Mg 0.404 0.388 0.593
Mg 0.096 0.189 0.484
Mg 0.205 0.689 0.093
Mg 0.189 0.093 0.705
Mg 0.612 0.016 0.205
Mg 0.888 0.593 0.904
Mg 0.516 0.311 0.904
Mg 0.593 0.888 0.404
Mg 0.907 0.811 0.795
Mg 0.907 0.096 0.612
Mg 0.888 0.295 0.484
Mg 0.189 0.096 0.984
Mg 0.612 0.596 0.907
Mg 0.404 0.016 0.311
Mg 0.295 0.407 0.811
Mg 0.205 0.516 0.612
Mg 0.904 0.093 0.888
Mg 0.689 0.205 0.593
Mg 0.484 0.795 0.888
Mg 0.016 0.404 0.811
Mg 0.407 0.295 0.311
Mg 0.016 0.612 0.705
Mg 0.689 0.484 0.596
Mg 0.295 0.888 0.984
CELL_PARAMETERS angstrom
-1.750 10.219 6.285
-10.702 -4.407 -3.610
5.570 -8.162 7.025
! **E_tot**: -44.92 eV per formula unit

! PBE MgGaH5, relaxed; values from VASP
&SYSTEM
  ibrav = 0, nat = 28, ntyp = 3
/
ATOMIC_SPECIES
Mg 24.30 Mg.upf
Ga 69.72 Ga.upf
H 1.01 H.upf
ATOMIC_POSITIONS crystal
Mg 0.375 0.505 0.748
Mg 0.625 0.495 0.252
Mg 0.875 0.495 0.752
Mg 0.125 0.505 0.248
Ga 0.375 0.887 0.861
Ga 0.625 0.113 0.139
Ga 0.875 0.113 0.639
Ga 0.125 0.887 0.361
H 0.066 0.247 0.517
H 0.934 0.753 0.483
H 0.566 0.753 0.983
H 0.434 0.247 0.017
H 0.371 0.832 0.726
H 0.629 0.168 0.274
H 0.871 0.168 0.774
H 0.129 0.832 0.226
H 0.885 0.790 0.763
H 0.115 0.210 0.237
H 0.385 0.210 0.737
H 0.615 0.790 0.263
H 0.126 0.423 0.823
H 0.874 0.577 0.177
H 0.626 0.577 0.677
H 0.374 0.423 0.323
H 0.316 0.770 0.481
H 0.684 0.230 0.519
H 0.816 0.230 0.019
H 0.184 0.770 0.981
CELL_PARAMETERS angstrom
-0.743 1.295 -6.774
3.944 -5.031 -1.395
-1.874 -9.537 -1.618
! **E_tot**: -21.55 eV per formula unit

! PBE MgGaH5, relaxed; values from VASP
&SYSTEM
  ibrav = 0, nat = 14, ntyp = 3
/
ATOMIC_SPECIES
Mg 24.30 Mg.upf
Ga 69.72 Ga.upf
H 1.01 H.upf
ATOMIC_POSITIONS crystal
Mg 0.500 0.000 0.000
Mg 0.500 0.000 0.500
Ga 0.891 0.609 0.250
Ga 0.109 0.391 0.750
H 0.762 0.724 0.056
H 0.216 0.673 0.344
H 0.426 0.074 0.250
H 0.776 0.738 0.444
H 0.224 0.262 0.556
H 0.826 0.284 0.156
H 0.174 0.716 0.844
H 0.574 0.926 0.750
H 0.784 0.327 0.656
H 0.238 0.276 0.944
CELL_PARAMETERS angstrom
4.920 0.113 -1.740
-0.647 4.879 -1.739
-0.031 -0.036 6.943
! **E_tot**: -21.55 eV per formula unit

! PBE MgGa2H, relaxed; values from VASP
&SYSTEM
  ibrav = 0, nat = 8, ntyp = 3
/
ATOMIC_SPECIES
H 1.01 H.upf
Mg 24.30 Mg.upf
Ga 69.72 Ga.upf
ATOMIC_POSITIONS crystal
H 0.500 0.500 0.000
H 0.250 0.750 0.500
Mg 0.000 0.000 0.000
Mg 0.750 0.250 0.500
Ga 0.466 0.125 0.250
Ga 0.284 0.625 0.250
Ga 0.375 0.534 0.750
Ga 0.875 0.716 0.750
CELL_PARAMETERS angstrom
-2.093 -4.179 1.391
4.399 -1.904 0.897
0.873 -0.999 6.857
! **E_tot**: -10.10 eV per formula unit

! PBE MgGa2H, relaxed; values from VASP
&SYSTEM
  ibrav = 0, nat = 4, ntyp = 3
/
ATOMIC_SPECIES
H 1.01 H.upf
Mg 24.30 Mg.upf
Ga 69.72 Ga.upf
ATOMIC_POSITIONS crystal
H 0.000 0.000 0.000
Mg 0.500 0.500 0.500
Ga 0.250 0.250 0.250
Ga 0.750 0.750 0.750
CELL_PARAMETERS angstrom
0.000 3.223 3.223
3.223 0.000 3.223
3.223 3.223 0.000
! **E_tot**: -9.33 eV per formula unit

! PBE MgGaH, relaxed; values from VASP
&SYSTEM
  ibrav = 0, nat = 6, ntyp = 3
/
ATOMIC_SPECIES
Mg 24.30 Mg.upf
Ga 69.72 Ga.upf
H 1.01 H.upf
ATOMIC_POSITIONS crystal
Mg 0.780 0.282 0.656
Mg 0.220 0.718 0.344
Ga 0.366 0.867 0.896
Ga 0.634 0.133 0.104
H 0.859 0.357 0.423
H 0.141 0.643 0.577
CELL_PARAMETERS angstrom
-1.319 2.414 -1.667
-2.746 1.340 1.010
3.447 7.547 4.857
! **E_tot**: -8.19 eV per formula unit

! PBE Mg2GaH6, relaxed; values from VASP
&SYSTEM
  ibrav = 0, nat = 9, ntyp = 3
/
ATOMIC_SPECIES
Mg 24.30 Mg.upf
Ga 69.72 Ga.upf
H 1.01 H.upf
ATOMIC_POSITIONS crystal
Mg 0.750 0.750 0.750
Mg 0.250 0.250 0.250
Ga 0.000 0.000 0.000
H 0.262 0.738 0.738
H 0.738 0.738 0.262
H 0.738 0.262 0.738
H 0.738 0.262 0.262
H 0.262 0.262 0.738
H 0.262 0.738 0.262
CELL_PARAMETERS angstrom
-3.248 1.972 2.938
1.338 1.617 4.321
0.103 4.723 0.871
! **E_tot**: -23.91 eV per formula unit

! PBE MgGa4H2, relaxed; values from VASP
&SYSTEM
  ibrav = 0, nat = 7, ntyp = 3
/
ATOMIC_SPECIES
Mg 24.30 Mg.upf
Ga 69.72 Ga.upf
H 1.01 H.upf
ATOMIC_POSITIONS crystal
Mg 0.000 0.500 0.000
Ga 0.500 0.090 0.182
Ga 0.000 0.309 0.622
Ga 0.500 0.910 0.818
Ga 0.000 0.691 0.378
H 0.500 0.207 0.398
H 0.500 0.793 0.602
CELL_PARAMETERS angstrom
2.913 0.000 0.000
0.000 4.241 -0.805
0.000 -0.480 8.499
! **E_tot**: -19.07 eV per formula unit

! PBE NaMg2GaH, relaxed; values from VASP
&SYSTEM
  ibrav = 0, nat = 5, ntyp = 4
/
ATOMIC_SPECIES
Na 22.99 Na.upf
Mg 24.30 Mg.upf
Ga 69.72 Ga.upf
H 1.01 H.upf
ATOMIC_POSITIONS crystal
Na 0.000 0.000 0.500
Mg 0.000 0.500 0.000
Mg 0.500 0.000 0.000
Ga 0.500 0.500 0.500
H 0.000 0.000 0.000
CELL_PARAMETERS angstrom
-0.462 -2.596 -3.645
1.011 -3.630 2.457
-4.160 -0.541 0.913
! **E_tot**: -10.89 eV per formula unit

! PBE Mg2NbGaH, relaxed; values from VASP
&SYSTEM
  ibrav = 0, nat = 5, ntyp = 4
/
ATOMIC_SPECIES
H 1.01 H.upf
Nb 92.91 Nb.upf
Mg 24.30 Mg.upf
Ga 69.72 Ga.upf
ATOMIC_POSITIONS crystal
H 0.000 0.000 0.000
Nb 0.000 0.000 0.500
Mg 0.000 0.500 0.000
Mg 0.500 0.000 0.000
Ga 0.500 0.500 0.500
CELL_PARAMETERS angstrom
-3.418 -1.677 -1.796
1.740 -3.825 0.259
-1.699 -0.521 3.720
! **E_tot**: -19.84 eV per formula unit

! PBE MgNb2GaH, relaxed; values from VASP
&SYSTEM
  ibrav = 0, nat = 5, ntyp = 4
/
ATOMIC_SPECIES
H 1.01 H.upf
Nb 92.91 Nb.upf
Mg 24.30 Mg.upf
Ga 69.72 Ga.upf
ATOMIC_POSITIONS crystal
H 0.000 0.000 0.000
Nb 0.000 0.500 0.000
Nb 0.500 0.000 0.000
Mg 0.000 0.000 0.500
Ga 0.500 0.500 0.500
CELL_PARAMETERS angstrom
-3.340 -0.437 -2.248
2.290 -0.650 -3.277
-0.007 -4.367 0.861
! **E_tot**: -28.62 eV per formula unit

! PBE MgGaNi2H, relaxed; values from VASP
&SYSTEM
  ibrav = 0, nat = 5, ntyp = 4
/
ATOMIC_SPECIES
Ni 58.69 Ni.upf
Mg 24.30 Mg.upf
Ga 69.72 Ga.upf
H 1.01 H.upf
ATOMIC_POSITIONS crystal
Ni 0.000 0.500 0.000
Ni 0.500 0.000 0.000
Mg 0.000 0.000 0.500
Ga 0.500 0.500 0.500
H 0.000 0.000 0.000
CELL_PARAMETERS angstrom
3.776 0.000 0.000
0.000 3.776 0.000
0.000 0.000 3.849
! **E_tot**: -20.43 eV per formula unit

! PBE Mg2GaHPb, relaxed; values from VASP
&SYSTEM
  ibrav = 0, nat = 5, ntyp = 4
/
ATOMIC_SPECIES
Pb 207.20 Pb.upf
H 1.01 H.upf
Mg 24.30 Mg.upf
Ga 69.72 Ga.upf
ATOMIC_POSITIONS crystal
Pb 0.000 0.000 0.000
H 0.000 0.500 0.000
Mg 0.000 0.000 0.500
Mg 0.500 0.000 0.000
Ga 0.500 0.500 0.500
CELL_PARAMETERS angstrom
5.625 0.000 0.000
0.000 3.893 0.000
0.000 0.000 5.625
! **E_tot**: -11.17 eV per formula unit

! PBE Mg2GaHPb, relaxed; values from VASP
&SYSTEM
  ibrav = 0, nat = 5, ntyp = 4
/
ATOMIC_SPECIES
Pb 207.20 Pb.upf
H 1.01 H.upf
Mg 24.30 Mg.upf
Ga 69.72 Ga.upf
ATOMIC_POSITIONS crystal
Pb 0.500 0.500 0.500
H 0.000 0.000 0.000
Mg 0.000 0.500 0.000
Mg 0.500 0.000 0.000
Ga 0.000 0.000 0.500
CELL_PARAMETERS angstrom
4.576 0.000 0.000
0.000 4.576 0.000
0.000 0.000 4.501
! **E_tot**: -13.09 eV per formula unit

! PBE Mg2GaHPd6, relaxed; values from VASP
&SYSTEM
  ibrav = 0, nat = 10, ntyp = 4
/
ATOMIC_SPECIES
Mg 24.30 Mg.upf
Ga 69.72 Ga.upf
H 1.01 H.upf
Pd 106.42 Pd.upf
ATOMIC_POSITIONS crystal
Mg 0.732 0.224 0.589
Mg 0.268 0.776 0.411
Ga 0.000 0.000 0.000
H 0.500 0.500 0.000
Pd 0.327 0.374 0.461
Pd 0.773 0.794 0.863
Pd 0.192 0.666 0.006
Pd 0.808 0.334 0.994
Pd 0.227 0.206 0.137
Pd 0.673 0.626 0.539
CELL_PARAMETERS angstrom
-5.141 0.080 -1.936
2.624 -1.909 -6.121
-2.031 -4.587 -2.433
! **E_tot**: -45.20 eV per formula unit

! PBE Mg2GaHPd, relaxed; values from VASP
&SYSTEM
  ibrav = 0, nat = 5, ntyp = 4
/
ATOMIC_SPECIES
H 1.01 H.upf
Mg 24.30 Mg.upf
Ga 69.72 Ga.upf
Pd 106.42 Pd.upf
ATOMIC_POSITIONS crystal
H 0.000 0.000 0.000
Mg 0.000 0.500 0.000
Mg 0.500 0.000 0.000
Ga 0.500 0.500 0.500
Pd 0.000 0.000 0.500
CELL_PARAMETERS angstrom
4.616 0.000 0.000
0.000 4.616 0.000
0.000 0.000 3.485
! **E_tot**: -16.29 eV per formula unit